A geometry-optimized CaGaFe2F structure. Source: Alexandria, functional GGA+U.

Computed properties:
- symmetry = P4/mmm
- magnetization (μB/atom) = 1.461
- DFT total energy (eV per atom) = -3.74
- volume (Å³ per cell) = 104

Structure (extended XYZ):
```
5
Lattice="4.5110 0.0000 0.0000 0.0000 4.5110 0.0000 0.0000 0.0000 5.0924" Properties=species:S:1:pos:R:3 pbc="T T T"
Ca 0.0000 0.0000 0.0000
Ga 2.2555 2.2555 0.0000
Fe 0.0000 2.2555 2.5462
Fe 2.2555 0.0000 2.5462
F 2.2555 2.2555 2.5462
```